Record 1
The following is a GGA-PBE calculation of SrCd12In6 after structural relaxation, from Alexandria via LeMat-Bulk.

Results
Fermi-level density of states   0.46 states/eV/atom
Magnetization   0.00 μB per formula unit
Calculated formation energy   1.95 kJ/mol of atoms

a = 8.3707 Å, b = 8.3707 Å, c = 8.3707 Å
α = 104.85°, β = 104.85°, γ = 104.85°
Last column: nearest neighbours and their distance in Å.
Fractional coordinates of all 19 atoms:
In: 0.2985 0.2985 0.7149  8 Cd 2.98-3.23
In: 0.2851 0.7015 0.7015  8 Cd 2.98-3.23
In: 0.7015 0.7015 0.2851  8 Cd 2.98-3.23
In: 0.7015 0.2851 0.7015  8 Cd 2.98-3.23
In: 0.7149 0.2985 0.2985  8 Cd 2.98-3.23
In: 0.2985 0.7149 0.2985  8 Cd 2.98-3.23
Cd: 0.1289 0.3683 0.3683  4 In 3.09-3.23, 4 Cd 3.17-3.18, 1 Sr 3.45
Cd: 0.3683 0.3683 0.1289  4 In 3.09-3.23, 4 Cd 3.17-3.18, 1 Sr 3.45
Cd: 0.5000 0.1078 0.8922  3 Cd 2.86-3.17, 4 In 2.98-3.16
Cd: 0.8922 0.1078 0.5000  3 Cd 2.86-3.17, 4 In 2.98-3.16
Cd: 0.1078 0.8922 0.5000  3 Cd 2.86-3.17, 4 In 2.98-3.16
Cd: 0.6317 0.6317 0.8711  4 In 3.09-3.23, 4 Cd 3.17-3.18, 1 Sr 3.45
Cd: 0.8922 0.5000 0.1078  3 Cd 2.86-3.17, 4 In 2.98-3.16
Cd: 0.1078 0.5000 0.8922  3 Cd 2.86-3.17, 4 In 2.98-3.16
Cd: 0.5000 0.8922 0.1078  3 Cd 2.86-3.17, 4 In 2.98-3.16
Cd: 0.3683 0.1289 0.3683  4 In 3.09-3.23, 4 Cd 3.17-3.18, 1 Sr 3.45
Cd: 0.8711 0.6317 0.6317  4 In 3.09-3.23, 4 Cd 3.17-3.18, 1 Sr 3.45
Cd: 0.6317 0.8711 0.6317  4 In 3.09-3.23, 4 Cd 3.17-3.18, 1 Sr 3.45
Sr: 0.0000 0.0000 0.0000  6 Cd 3.45

=====

Record 2
The following is a GGA-PBE calculation of HfCoPRh2 after structural relaxation, from Alexandria via LeMat-Bulk.

Results
Fermi-level density of states   1.73 states/eV/atom
Magnetization   2.63 μB per formula unit
Calculated formation energy   113.69 kJ/mol of atoms

a = 4.7464 Å, b = 4.8687 Å, c = 4.7464 Å
α = 90.00°, β = 90.00°, γ = 90.00°
Last column: nearest neighbours and their distance in Å.
Fractional coordinates of all 5 atoms:
P: 0.0000 0.5000 0.0000  2 Hf 2.43
Hf: 0.0000 0.0000 0.0000  4 Rh 2.37, 2 P 2.43
Rh: 0.5000 0.0000 0.0000  2 Hf 2.37
Rh: 0.0000 0.0000 0.5000  2 Hf 2.37
Co: 0.5000 0.5000 0.5000  4 P 3.36, 8 Rh 3.40

=====

Record 3
The following is a GGA-PBE calculation of Nd4HoSb5 after structural relaxation, from Alexandria via LeMat-Bulk.

Results
Fermi-level density of states   0.14 states/eV/atom
Magnetization   0.00 μB per formula unit
Energy relative to the elements, uncorrected   -1.1678 eV/atom

a = 6.3598 Å, b = 7.7846 Å, c = 7.7846 Å
α = 80.39°, β = 65.89°, γ = 65.89°
Last column: nearest neighbours and their distance in Å.
Fractional coordinates of all 10 atoms:
Sb: 0.5010 0.0000 0.0000  4 Nd 3.18, 2 Ho 3.18
Sb: 0.0998 0.6066 0.1959  1 Ho 3.12, 5 Nd 3.18-3.21
Sb: 0.7064 0.1959 0.3934  1 Ho 3.12, 5 Nd 3.18-3.21
Sb: 0.2957 0.8041 0.6066  1 Ho 3.12, 5 Nd 3.18-3.21
Sb: 0.9023 0.3934 0.8041  1 Ho 3.12, 5 Nd 3.18-3.21
Nd: 0.5990 0.6016 0.2024  6 Sb 3.18-3.21
Nd: 0.4031 0.3984 0.7976  6 Sb 3.18-3.21
Nd: 0.2006 0.2024 0.3984  6 Sb 3.18-3.21
Nd: 0.8014 0.7976 0.6016  6 Sb 3.18-3.21
Ho: 0.0010 0.0000 0.0000  6 Sb 3.12-3.18

=====

Record 4
The following is a GGA-PBE calculation of Be2AgAs after structural relaxation, from Alexandria via LeMat-Bulk.

Results
Fermi-level density of states   0.29 states/eV/atom
Magnetization   0.00 μB per formula unit
Calculated formation energy   58.98 kJ/mol of atoms

a = 4.3691 Å, b = 4.3691 Å, c = 4.3691 Å
α = 60.00°, β = 60.00°, γ = 60.00°
Last column: nearest neighbours and their distance in Å.
Fractional coordinates of all 4 atoms:
Be: 0.0000 0.0000 0.0000  4 As 2.68, 4 Be 2.68
Be: 0.2500 0.2500 0.2500  4 Be 2.68, 4 Ag 2.68
Ag: 0.5000 0.5000 0.5000  4 As 2.68, 4 Be 2.68
As: 0.7500 0.7500 0.7500  4 Be 2.68, 4 Ag 2.68

=====

Record 5
The following is a GGA-PBE calculation of La2ThPdS5 after structural relaxation, from Alexandria via LeMat-Bulk.

Results
Fermi-level density of states   0.10 states/eV/atom
Magnetization   0.00 μB per formula unit
Energy relative to the elements, uncorrected   -1.8266 eV/atom

a = 4.0276 Å, b = 8.6194 Å, c = 12.3686 Å
α = 90.00°, β = 90.00°, γ = 103.51°
Last column: nearest neighbours and their distance in Å.
Fractional coordinates of all 18 atoms:
S: 0.3022 0.6043 0.6827  2 Th 2.84, 1 La 3.12
S: 0.3442 0.6883 0.0217  1 Th 2.81, 4 La 3.01-3.02
S: 0.6967 0.3935 0.8605  1 Pd 2.45
S: 0.6558 0.3117 0.5217  1 Th 2.81, 4 La 3.01-3.02
S: 0.4945 0.9890 0.7448  1 Pd 2.41
S: 0.0121 0.0241 0.0213  2 Pd 2.49, 1 Th 2.76
S: 0.5055 0.0110 0.2448  1 Pd 2.41
S: 0.6978 0.3957 0.1827  2 Th 2.84, 1 La 3.12
S: 0.9879 0.9759 0.5213  2 Pd 2.49, 1 Th 2.76
S: 0.3033 0.6065 0.3605  1 Pd 2.45
La: 0.8937 0.7874 0.8538  5 S 2.87-3.01
La: 0.8838 0.7676 0.1955  8 S 2.93-3.17
La: 0.1162 0.2324 0.6955  8 S 2.93-3.17
La: 0.1063 0.2126 0.3538  5 S 2.87-3.01
Pd: 0.4428 0.8856 0.4203  4 S 2.41-2.49
Pd: 0.5572 0.1144 0.9203  4 S 2.41-2.49
Th: 0.8235 0.6469 0.5234  6 S 2.76-2.87
Th: 0.1765 0.3531 0.0234  6 S 2.76-2.87

=====

Record 6
The following is a GGA-PBE calculation of RbSbMoH2 after structural relaxation, from Alexandria via LeMat-Bulk.

Results
Fermi-level density of states   0.29 states/eV/atom
Magnetization   5.87 μB per formula unit
Electronic total energy   -2.9592 eV per atom

a = 4.5188 Å, b = 7.0956 Å, c = 4.5188 Å
α = 90.00°, β = 90.00°, γ = 90.00°
Last column: nearest neighbours and their distance in Å.
Fractional coordinates of all 5 atoms:
H: 0.0000 0.0000 0.5000  2 Sb 2.26
H: 0.5000 0.0000 0.0000  2 Sb 2.26
Mo: 0.5000 0.5000 0.5000  4 Rb 3.20
Sb: 0.0000 0.0000 0.0000  4 H 2.26
Rb: 0.0000 0.5000 0.0000  4 Mo 3.20, 2 Sb 3.55

=====

Record 7
The following is a GGA-PBE calculation of EuSnPt4 after structural relaxation, from Alexandria via LeMat-Bulk.

Results
Fermi-level density of states   2.02 states/eV/atom
Magnetization   6.82 μB per formula unit
Calculated formation energy   -64.25 kJ/mol of atoms

a = 5.4544 Å, b = 5.4544 Å, c = 5.4544 Å
α = 60.00°, β = 60.00°, γ = 60.00°
Last column: nearest neighbours and their distance in Å.
Fractional coordinates of all 6 atoms:
Pt: 0.6254 0.6254 0.6254  6 Pt 2.72-2.74
Pt: 0.6254 0.6254 0.1239  6 Pt 2.72-2.74
Pt: 0.6254 0.1239 0.6254  6 Pt 2.72-2.74
Pt: 0.1239 0.6254 0.6254  6 Pt 2.72-2.74
Sn: 0.0000 0.0000 0.0000  12 Pt 3.20, 4 Eu 3.34
Eu: 0.2500 0.2500 0.2500  12 Pt 3.20, 4 Sn 3.34

=====

Record 8
The following is a GGA-PBE calculation of Cu4Pd2Au after structural relaxation, from Alexandria via LeMat-Bulk.

Results
Fermi-level density of states   0.26 states/eV/atom
Magnetization   0.00 μB per formula unit
E above lowest polymorph   0 meV/atom
Calculated formation energy   -0.69 kJ/mol of atoms

a = 6.5392 Å, b = 6.5470 Å, c = 6.6382 Å
α = 122.02°, β = 117.18°, γ = 89.90°
Last column: nearest neighbours and their distance in Å.
Fractional coordinates of all 14 atoms:
Au: 0.0197 0.0202 0.9988  8 Cu 2.64-2.68, 2 Pd 2.92-2.93
Au: 0.1170 0.6168 0.4999  6 Cu 2.59-2.79, 2 Pd 2.75
Cu: 0.7722 0.1705 0.2449  6 Cu 2.43-2.63, 1 Au 2.64, 2 Pd 2.65-2.71
Cu: 0.8488 0.0637 0.5787  4 Cu 2.48-2.65, 4 Pd 2.55-2.71, 1 Au 2.66
Cu: 0.5846 0.7280 0.7833  5 Cu 2.48-2.76, 2 Au 2.59-2.68, 2 Pd 2.60-2.64
Cu: 0.3588 0.0952 0.9035  3 Cu 2.43-2.65, 2 Pd 2.54-2.70, 2 Au 2.60-2.68
Cu: 0.9252 0.5269 0.7545  6 Cu 2.43-2.62, 1 Au 2.64, 2 Pd 2.65-2.70
Cu: 0.4839 0.2698 0.4198  4 Cu 2.48-2.65, 4 Pd 2.54-2.71, 1 Au 2.67
Cu: 0.1914 0.4541 0.0953  3 Cu 2.43-2.65, 2 Pd 2.54-2.70, 2 Au 2.60-2.68
Cu: 0.9498 0.8034 0.2192  5 Cu 2.48-2.75, 2 Au 2.59-2.68, 2 Pd 2.60-2.63
Pd: 0.6511 0.6001 0.3726  7 Cu 2.54-2.82, 2 Pd 2.75-2.82, 1 Au 2.75
Pd: 0.7093 0.3249 0.9128  7 Cu 2.55-2.77, 2 Pd 2.75-2.82
Pd: 0.4103 0.7968 0.0882  7 Cu 2.54-2.78, 2 Pd 2.75-2.82
Pd: 0.2279 0.2797 0.6284  7 Cu 2.54-2.81, 2 Pd 2.75-2.82, 1 Au 2.75